# 1
Compound: LaPaZnTc
Source: the Alexandria database
Functional: PBE-GGA
Structure: optimized geometry

a = 5.0309 Å, b = 5.0309 Å, c = 5.0309 Å
α = 60.00°, β = 60.00°, γ = 60.00°
Last column: nearest neighbours and their distance in Å.
Element x y z (fractional)
La (0.0000, 0.0000, 0.0000)  4 Tc 3.08, 4 Zn 3.08
Pa (0.5000, 0.5000, 0.5000)  4 Tc 3.08, 4 Zn 3.08
Zn (0.7500, 0.7500, 0.7500)  4 La 3.08, 4 Pa 3.08
Tc (0.2500, 0.2500, 0.2500)  4 Pa 3.08, 4 La 3.08

Properties
Energy of formation from the pure elements in meV per atom: 51
Crystal system: cubic

# 2
Compound: LaPaTe4
Source: the Alexandria database
Functional: PBE-GGA
Structure: optimized geometry

a = 7.3589 Å, b = 7.3589 Å, c = 4.6136 Å
α = 90.00°, β = 90.00°, γ = 90.77°
Last column: nearest neighbours and their distance in Å.
Element x y z (fractional)
La (0.0000, 0.0000, 0.0000)  6 Te 3.18-3.28
Pa (0.5000, 0.5000, 0.5000)  6 Te 2.98-3.03
Te (0.2121, 0.2121, 0.5000)  1 Pa 2.98, 2 La 3.18
Te (0.3126, 0.6874, 0.0000)  2 Pa 3.03, 1 La 3.28
Te (0.6874, 0.3126, 0.0000)  2 Pa 3.03, 1 La 3.28
Te (0.7879, 0.7879, 0.5000)  1 Pa 2.98, 2 La 3.18

Properties
Excess energy over the best structure of this formula in the dataset in eV/atom: 0.113
Crystal system: orthorhombic
Formation energy without anion corrections in eV/atom: -0.9871

# 3
Compound: LaPaTe2
Source: the Alexandria database
Functional: PBE-GGA
Structure: optimized geometry

a = 5.4211 Å, b = 5.4211 Å, c = 5.4211 Å
α = 60.00°, β = 60.00°, γ = 60.00°
Last column: nearest neighbours and their distance in Å.
Element x y z (fractional)
La (0.0000, 0.0000, 0.0000)  8 Te 3.32
Pa (0.5000, 0.5000, 0.5000)  8 Te 3.32
Te (0.2500, 0.2500, 0.2500)  4 Pa 3.32, 4 La 3.32
Te (0.7500, 0.7500, 0.7500)  4 Pa 3.32, 4 La 3.32

Properties
Excess energy over the best structure of this formula in the dataset in eV/atom: 0.065
Crystal system: cubic
Formation energy without anion corrections in eV/atom: -0.9566

# 4
Compound: LaPaTe2
Source: the Alexandria database
Functional: PBE-GGA
Structure: optimized geometry

a = 3.8229 Å, b = 3.8229 Å, c = 7.7111 Å
α = 90.00°, β = 90.00°, γ = 90.00°
Last column: nearest neighbours and their distance in Å.
Element x y z (fractional)
La (0.0000, 0.0000, 0.0000)  8 Te 3.39
Pa (0.0000, 0.0000, 0.5000)  8 Te 3.26
Te (0.5000, 0.5000, 0.2646)  4 Pa 3.26, 4 La 3.39, 1 Te 3.63
Te (0.5000, 0.5000, 0.7354)  4 Pa 3.26, 4 La 3.39, 1 Te 3.63

Properties
Excess energy over the best structure of this formula in the dataset in eV/atom: 0.000
Crystal system: tetragonal
Formation energy without anion corrections in eV/atom: -1.0215

The calculation returns the following E values, one per record and in order: -6.4644, -5.4854, -6.1333, -6.1982 eV per atom.
The calculation returns the following total magnetic moment values, one per record and in order: 0.0, 0.1, 1.3, 1.4 μB per formula unit.